First-principles (GGA-PBE) data for a relaxed Er2Pt4Rh crystal, as listed in Alexandria via LeMat-Bulk.

Output
- Space-group type: Fmmm (69)
- Density of states at the Fermi level: 12.66 states/eV per cell
- Formation enthalpy at 0 K: -0.675 eV per atom

Geometry as POSCAR:
```
Er2Pt4Rh
1.0
9.0111 0.0000 0.0000
0.0000 4.9409 -2.2863
0.0000 -0.1540 6.1494
Pt Rh Er
8 2 4
direct
0.2500 0.9995 0.5000
0.7500 0.5005 0.5000
0.2500 0.4995 0.5000
0.2501 0.7504 0.0000
0.7500 0.0005 0.5000
0.7501 0.7496 0.0000
0.2499 0.2504 0.0000
0.7499 0.2496 0.0000
0.0000 0.0000 0.0000
0.5000 0.5000 0.0000
0.0000 0.3548 0.7096
0.5000 0.1452 0.2904
0.0000 0.6452 0.2904
0.5000 0.8548 0.7096
```

First-principles (GGA-PBE) data for a relaxed Nb2AsAu crystal, as listed in Alexandria via LeMat-Bulk.

Output
- Space-group type: I-42d (122)
- Density of states at the Fermi level: 2.34 states/eV per cell
- Formation enthalpy at 0 K: -0.006 eV per atom

Geometry as POSCAR:
```
Nb2AsAu
1.0
7.2384 0.0000 0.0000
0.0000 7.2384 0.0000
3.6192 3.6192 2.8641
Nb As Au
4 2 2
direct
0.1459 0.6250 0.2500
0.3750 0.3959 0.7500
0.8750 0.8541 0.7500
0.6041 0.1250 0.2500
0.2500 0.7500 0.5000
0.5000 0.5000 0.0000
0.7500 0.2500 0.5000
0.0000 0.0000 0.0000
```

First-principles (GGA-PBE) data for a relaxed Rb2CdSnAu crystal, as listed in Alexandria via LeMat-Bulk.

Output
- Space-group type: P4/mmm (123)
- Density of states at the Fermi level: 3.79 states/eV per cell
- Formation enthalpy at 0 K: -0.046 eV per atom

Geometry as POSCAR:
```
Rb2CdSnAu
1.0
6.7975 0.0000 0.0000
0.0000 6.7975 0.0000
0.0000 0.0000 5.1254
Cd Au Rb Sn
1 1 2 1
direct
0.5000 0.5000 0.5000
0.0000 0.0000 0.0000
0.5000 0.0000 0.0000
0.0000 0.5000 0.0000
0.0000 0.0000 0.5000
```

First-principles (GGA-PBE) data for a relaxed Tl5GaS4 crystal, as listed in Alexandria via LeMat-Bulk.

Output
- Space-group type: Pmmn (59)

Geometry as POSCAR:
```
Tl5GaS4
1.0
-6.9052 -1.6737 2.7572
-3.3923 -1.6163 -9.4770
2.1260 -7.8258 0.5737
S Tl Ga
8 10 2
direct
0.6913 0.5000 0.7355
0.0274 0.6899 0.5000
0.9726 0.8101 0.0000
0.9726 0.1899 0.0000
0.0274 0.3101 0.5000
0.6913 0.5000 0.2645
0.3087 0.0000 0.7645
0.3087 0.0000 0.2355
0.0522 0.0000 0.5000
0.2713 0.2987 0.7778
0.7287 0.7987 0.2778
0.2713 0.2987 0.2222
0.2713 0.7013 0.7778
0.2713 0.7013 0.2222
0.7287 0.7987 0.7222
0.7287 0.2013 0.7222
0.7287 0.2013 0.2778
0.9478 0.5000 0.0000
0.1416 0.0000 0.0000
0.8584 0.5000 0.5000
```

First-principles (GGA-PBE) data for a relaxed PuBi3O7 crystal, as listed in Alexandria via LeMat-Bulk.

Output
- Space-group type: C222_1 (20)
- Density of states at the Fermi level: 15.09 states/eV per cell

Geometry as POSCAR:
```
PuBi3O7
1.0
6.8594 0.0978 0.0000
-2.2839 6.4687 0.0000
0.0000 0.0000 7.8859
Bi O Pu
6 14 2
direct
0.4649 0.4649 0.5000
0.0072 0.5242 0.7447
0.9928 0.4758 0.2447
0.4758 0.9928 0.7553
0.5242 0.0072 0.2553
0.5351 0.5351 0.0000
0.9075 0.6687 0.0383
0.3129 0.0528 0.0489
0.0925 0.3313 0.5383
0.6287 0.3713 0.7500
0.0773 0.9227 0.7500
0.3713 0.6287 0.2500
0.6687 0.9075 0.9617
0.9472 0.6871 0.4511
0.3313 0.0925 0.4617
0.0528 0.3129 0.9511
0.6871 0.9472 0.5489
0.3602 0.6398 0.7500
0.6398 0.3602 0.2500
0.9227 0.0773 0.2500
0.9996 0.9996 0.0000
0.0004 0.0004 0.5000
```

First-principles (GGA-PBE) data for a relaxed MoAs2POs crystal, as listed in Alexandria via LeMat-Bulk.

Output
- Space-group type: P4/mmm (123)
- ΔE to the lowest computed polymorph: 0 meV per atom
- Density of states at the Fermi level: 4.44 states/eV per cell
- Formation enthalpy at 0 K: 1.147 eV per atom

Geometry as POSCAR:
```
MoAs2POs
1.0
4.9311 0.0000 0.0000
0.0000 4.3766 0.0000
0.0000 0.0000 4.9311
As Mo P Os
2 1 1 1
direct
0.5000 0.0000 0.0000
0.0000 0.0000 0.5000
0.5000 0.5000 0.5000
0.0000 0.5000 0.0000
0.0000 0.0000 0.0000
```

First-principles (GGA-PBE) data for a relaxed NdCd4Ag crystal, as listed in Alexandria via LeMat-Bulk.

Output
- Space-group type: C2/m (12)
- ΔE to the lowest computed polymorph: 2 meV per atom
- Density of states at the Fermi level: 2.74 states/eV per cell
- Formation enthalpy at 0 K: -0.203 eV per atom

Geometry as POSCAR:
```
NdCd4Ag
1.0
4.9490 -0.0161 -0.0223
-2.4572 4.5468 0.2131
0.0363 1.0186 6.3744
Nd Cd Ag
1 4 1
direct
0.0040 0.4994 0.4981
0.6990 0.8889 0.2279
0.3746 0.2403 0.2341
0.6335 0.7585 0.7622
0.3090 0.1100 0.7684
0.0040 0.4995 0.9981
```

First-principles (GGA-PBE) data for a relaxed InSbSe crystal, as listed in Alexandria via LeMat-Bulk.

Output
- Space-group type: I4mm (107)
- Density of states at the Fermi level: 1.13 states/eV per cell

Geometry as POSCAR:
```
InSbSe
1.0
-1.6693 1.5373 -5.7702
-4.7382 0.0155 -3.9999
-1.6584 3.4791 0.1187
Sb Se In
1 1 1
direct
0.2978 0.2978 0.7022
0.6999 0.6999 0.3001
0.0023 0.0023 0.9977
```

First-principles (GGA-PBE) data for a relaxed TlCuTeN2 crystal, as listed in Alexandria via LeMat-Bulk.

Output
- Space-group type: P4/mmm (123)
- ΔE to the lowest computed polymorph: 420 meV per atom
- Density of states at the Fermi level: 3.22 states/eV per cell

Geometry as POSCAR:
```
TlCuTeN2
1.0
4.2319 0.0000 0.0000
0.0000 4.2319 0.0000
0.0000 0.0000 6.5424
Tl Te N Cu
1 1 2 1
direct
0.0000 0.0000 0.0000
0.0000 0.0000 0.5000
0.5000 0.0000 0.0000
0.0000 0.5000 0.0000
0.5000 0.5000 0.5000
```

First-principles (GGA-PBE) data for a relaxed Co2AgTe2 crystal, as listed in Alexandria via LeMat-Bulk.

Output
- Space-group type: I4/mmm (139)
- Density of states at the Fermi level: 3.46 states/eV per cell

Geometry as POSCAR:
```
Co2AgTe2
1.0
3.7040 0.0000 0.0000
0.0000 3.7040 0.0000
1.8520 1.8520 7.4554
Co Ag Te
2 1 2
direct
0.2500 0.7500 0.5000
0.7500 0.2500 0.5000
0.0000 0.0000 0.0000
0.6378 0.6378 0.7244
0.3622 0.3622 0.2756
```

First-principles (GGA-PBE) data for a relaxed V2ZnAu crystal, as listed in Alexandria via LeMat-Bulk.

Output
- Space-group type: I-42d (122)
- Density of states at the Fermi level: 9.41 states/eV per cell
- Formation enthalpy at 0 K: 0.479 eV per atom

Geometry as POSCAR:
```
V2ZnAu
1.0
7.2056 0.0000 0.0000
0.0000 7.2056 0.0000
3.6028 3.6028 2.4710
Zn V Au
2 4 2
direct
0.5000 0.5000 0.0000
0.2500 0.7500 0.5000
0.3750 0.3757 0.7500
0.1257 0.6250 0.2500
0.6243 0.1250 0.2500
0.8750 0.8743 0.7500
0.0000 0.0000 0.0000
0.7500 0.2500 0.5000
```

First-principles (GGA-PBE) data for a relaxed RbHg6Pd crystal, as listed in Alexandria via LeMat-Bulk.

Output
- Space-group type: R-3m (166)
- Density of states at the Fermi level: 3.85 states/eV per cell
- Formation enthalpy at 0 K: -0.088 eV per atom

Geometry as POSCAR:
```
RbHg6Pd
1.0
-3.0458 -3.0654 2.5492
-1.8184 -4.1271 -2.1983
6.9287 -8.0108 3.5828
Hg Pd Rb
6 1 1
direct
0.0851 0.0851 0.7447
0.9149 0.9149 0.2553
0.6518 0.6518 0.0445
0.7654 0.7654 0.7037
0.2346 0.2346 0.2963
0.3482 0.3482 0.9555
0.0000 0.0000 0.0000
0.5000 0.5000 0.5000
```

Number 1: final energy -45.37 eV per formula unit, spin magnetization 0.77 μB per cell. Number 2: final energy -28.09 eV per formula unit, spin magnetization 0.00 μB per cell. Number 3: final energy -10.36 eV per formula unit, spin magnetization 0.15 μB per cell. Number 4: final energy -35.75 eV per formula unit, spin magnetization 0.00 μB per cell. Number 5: final energy -79.49 eV per formula unit, spin magnetization 6.00 μB per cell. Number 6: final energy -31.04 eV per formula unit, spin magnetization 2.68 μB per cell. Number 7: final energy -12.50 eV per formula unit, spin magnetization 0.00 μB per cell. Number 8: final energy -10.34 eV per formula unit, spin magnetization 0.00 μB per cell. Number 9: final energy -16.82 eV per formula unit, spin magnetization 3.26 μB per cell. Number 10: final energy -22.78 eV per formula unit, spin magnetization 0.00 μB per cell. Number 11: final energy -20.87 eV per formula unit, spin magnetization 0.00 μB per cell. Number 12: final energy -8.67 eV per formula unit, spin magnetization 0.00 μB per cell.